# 1
# Mg14NiSn | Alexandria | PBE-GGA | optimized geometry
data_Mg14NiSn
_space_group_name_H-M_alt 'P 1'
_space_group_IT_number 1
_cell_length_a 10.148
_cell_length_b 6.277
_cell_length_c 6.277
_cell_angle_alpha 59.86
_cell_angle_beta 90.00
_cell_angle_gamma 90.00
loop_
_space_group_symop_operation_xyz
'x,y,z'
loop_
_atom_site_label
_atom_site_fract_x
_atom_site_fract_y
_atom_site_fract_z
Mg1 0.000 0.000 0.000
Mg2 0.000 0.005 0.499
Mg3 0.000 0.499 0.005
Mg4 0.000 0.499 0.499
Mg5 0.245 0.668 0.668
Mg6 0.261 0.162 0.162
Mg7 0.265 0.159 0.678
Mg8 0.265 0.678 0.159
Mg9 0.500 0.495 0.994
Mg10 0.500 0.994 0.495
Mg11 0.735 0.159 0.678
Mg12 0.735 0.678 0.159
Mg13 0.739 0.162 0.162
Mg14 0.755 0.668 0.668
Ni1 0.500 0.007 0.007
Sn1 0.500 0.504 0.504
# * polymorph energy (0 for the lowest one): 7.1 meV per atom
# * volume: 21.61 A^3/atom
# * crystal system: orthorhombic
# * symmetry: Amm2, No. 38
# * DFT formation energy: -5 meV/atom
# * ρ: 2486 kg/m³



# 2
# La4SnBr5 | Alexandria | PBE-GGA | optimized geometry
data_La4SnBr5
_space_group_name_H-M_alt 'P 1'
_space_group_IT_number 1
_cell_length_a 9.678
_cell_length_b 9.678
_cell_length_c 9.100
_cell_angle_alpha 101.24
_cell_angle_beta 101.24
_cell_angle_gamma 25.98
loop_
_space_group_symop_operation_xyz
'x,y,z'
loop_
_atom_site_label
_atom_site_fract_x
_atom_site_fract_y
_atom_site_fract_z
La1 0.004 0.004 0.245
La2 0.332 0.332 0.932
La3 0.668 0.668 0.068
La4 0.996 0.996 0.755
Sn1 0.500 0.500 0.000
Br1 0.165 0.165 0.819
Br2 0.170 0.170 0.311
Br3 0.500 0.500 0.500
Br4 0.830 0.830 0.689
Br5 0.835 0.835 0.181
# * volume: 36.58 A^3/atom
# * crystal system: monoclinic
# * DFT total energy: -47.3 eV for the cell shown
# * symmetry: C2/m, No. 12
# * ρ: 4875 kg/m³



# 3
# LaPr12Er7 | Alexandria | PBE-GGA | optimized geometry
data_LaPr12Er7
_space_group_name_H-M_alt 'P 1'
_space_group_IT_number 1
_cell_length_a 11.593
_cell_length_b 11.593
_cell_length_c 11.593
_cell_angle_alpha 116.83
_cell_angle_beta 116.83
_cell_angle_gamma 116.83
loop_
_space_group_symop_operation_xyz
'x,y,z'
loop_
_atom_site_label
_atom_site_fract_x
_atom_site_fract_y
_atom_site_fract_z
La1 0.000 0.000 0.000
Pr1 0.070 0.424 0.425
Pr2 0.088 0.499 0.912
Pr3 0.088 0.912 0.501
Pr4 0.424 0.425 0.070
Pr5 0.425 0.070 0.424
Pr6 0.499 0.912 0.088
Pr7 0.501 0.088 0.912
Pr8 0.575 0.930 0.576
Pr9 0.576 0.575 0.930
Pr10 0.912 0.088 0.499
Pr11 0.912 0.501 0.088
Pr12 0.930 0.576 0.575
Er1 0.123 0.368 0.124
Er2 0.124 0.123 0.368
Er3 0.368 0.124 0.123
Er4 0.500 0.500 0.500
Er5 0.632 0.876 0.877
Er6 0.876 0.877 0.632
Er7 0.877 0.632 0.876
# * volume: 35.25 A^3/atom
# * crystal system: trigonal
# * symmetry: R-3, No. 148
# * DFT formation energy: 250 meV/atom
# * ρ: 7068 kg/m³



# 4
# PdWSCl2 | Alexandria | PBE-GGA | optimized geometry
data_PdWSCl2
_space_group_name_H-M_alt 'P 1'
_space_group_IT_number 1
_cell_length_a 4.786
_cell_length_b 4.786
_cell_length_c 4.639
_cell_angle_alpha 90.00
_cell_angle_beta 90.00
_cell_angle_gamma 90.00
loop_
_space_group_symop_operation_xyz
'x,y,z'
loop_
_atom_site_label
_atom_site_fract_x
_atom_site_fract_y
_atom_site_fract_z
Pd1 0.000 0.000 0.000
W1 0.500 0.500 0.500
S1 0.500 0.500 0.000
Cl1 0.000 0.500 0.500
Cl2 0.500 0.000 0.500
# * polymorph energy (0 for the lowest one): 0.0 meV per atom
# * volume: 21.25 A^3/atom
# * crystal system: tetragonal
# * symmetry: P4/mmm, No. 123
# * ρ: 6145 kg/m³



# 5
# PuZn9Ag2 | Alexandria | PBE-GGA | optimized geometry
data_PuZn9Ag2
_space_group_name_H-M_alt 'P 1'
_space_group_IT_number 1
_cell_length_a 9.012
_cell_length_b 9.012
_cell_length_c 2.857
_cell_angle_alpha 90.00
_cell_angle_beta 90.00
_cell_angle_gamma 120.00
loop_
_space_group_symop_operation_xyz
'x,y,z'
loop_
_atom_site_label
_atom_site_fract_x
_atom_site_fract_y
_atom_site_fract_z
Pu1 0.000 0.000 0.000
Zn1 0.000 0.500 0.000
Zn2 0.178 0.356 0.500
Zn3 0.178 0.822 0.500
Zn4 0.356 0.178 0.500
Zn5 0.500 0.000 0.000
Zn6 0.500 0.500 0.000
Zn7 0.644 0.822 0.500
Zn8 0.822 0.178 0.500
Zn9 0.822 0.644 0.500
Ag1 0.333 0.667 0.000
Ag2 0.667 0.333 0.000
# * polymorph energy (0 for the lowest one): 27.1 meV per atom
# * volume: 16.74 A^3/atom
# * crystal system: hexagonal
# * symmetry: P6/mmm, No. 191
# * DFT formation energy: -39 meV/atom
# * ρ: 8665 kg/m³



# 6
# RbCaHg17 | Alexandria | PBE-GGA | optimized geometry
data_RbCaHg17
_space_group_name_H-M_alt 'P 1'
_space_group_IT_number 1
_cell_length_a 8.438
_cell_length_b 8.438
_cell_length_c 8.438
_cell_angle_alpha 73.73
_cell_angle_beta 73.73
_cell_angle_gamma 73.73
loop_
_space_group_symop_operation_xyz
'x,y,z'
loop_
_atom_site_label
_atom_site_fract_x
_atom_site_fract_y
_atom_site_fract_z
Rb1 0.000 0.000 0.000
Ca1 0.321 0.321 0.321
Hg1 0.057 0.057 0.409
Hg2 0.057 0.409 0.057
Hg3 0.069 0.701 0.701
Hg4 0.295 0.295 0.727
Hg5 0.295 0.727 0.295
Hg6 0.335 0.635 0.946
Hg7 0.335 0.946 0.635
Hg8 0.409 0.057 0.057
Hg9 0.532 0.532 0.532
Hg10 0.635 0.335 0.946
Hg11 0.635 0.946 0.335
Hg12 0.701 0.069 0.701
Hg13 0.701 0.701 0.069
Hg14 0.701 0.701 0.701
Hg15 0.727 0.295 0.295
Hg16 0.946 0.335 0.635
Hg17 0.946 0.635 0.335
# * volume: 28.44 A^3/atom
# * crystal system: trigonal
# * symmetry: R3m, No. 160
# * DFT formation energy: -119 meV/atom
# * ρ: 10867 kg/m³



# 7
# Li2MgIn2 | Alexandria | PBE-GGA | optimized geometry
data_Li2MgIn2
_space_group_name_H-M_alt 'P 1'
_space_group_IT_number 1
_cell_length_a 7.632
_cell_length_b 7.632
_cell_length_c 3.529
_cell_angle_alpha 90.00
_cell_angle_beta 90.00
_cell_angle_gamma 90.00
loop_
_space_group_symop_operation_xyz
'x,y,z'
loop_
_atom_site_label
_atom_site_fract_x
_atom_site_fract_y
_atom_site_fract_z
Li1 0.134 0.366 0.000
Li2 0.366 0.866 0.000
Li3 0.634 0.134 0.000
Li4 0.866 0.634 0.000
Mg1 0.000 0.000 0.000
Mg2 0.500 0.500 0.000
In1 0.162 0.662 0.500
In2 0.338 0.162 0.500
In3 0.662 0.838 0.500
In4 0.838 0.338 0.500
# * polymorph energy (0 for the lowest one): 42.1 meV per atom
# * volume: 20.55 A^3/atom
# * crystal system: tetragonal
# * symmetry: P4/mbm, No. 127
# * DFT formation energy: -160 meV/atom
# * ρ: 4327 kg/m³



# 8
# VAg2Pd5 | Alexandria | PBE-GGA | optimized geometry
data_VAg2Pd5
_space_group_name_H-M_alt 'P 1'
_space_group_IT_number 1
_cell_length_a 3.997
_cell_length_b 3.997
_cell_length_c 15.656
_cell_angle_alpha 90.00
_cell_angle_beta 90.00
_cell_angle_gamma 90.00
loop_
_space_group_symop_operation_xyz
'x,y,z'
loop_
_atom_site_label
_atom_site_fract_x
_atom_site_fract_y
_atom_site_fract_z
V1 0.000 0.000 0.000
V2 0.500 0.500 0.500
Ag1 0.000 0.000 0.251
Ag2 0.000 0.000 0.749
Ag3 0.500 0.500 0.249
Ag4 0.500 0.500 0.751
Pd1 0.000 0.000 0.500
Pd2 0.000 0.500 0.117
Pd3 0.000 0.500 0.383
Pd4 0.000 0.500 0.617
Pd5 0.000 0.500 0.883
Pd6 0.500 0.000 0.117
Pd7 0.500 0.000 0.383
Pd8 0.500 0.000 0.617
Pd9 0.500 0.000 0.883
Pd10 0.500 0.500 0.000
# * volume: 15.63 A^3/atom
# * crystal system: tetragonal
# * symmetry: I4/mmm, No. 139
# * DFT formation energy: -143 meV/atom
# * ρ: 10606 kg/m³



# 9
# LaCeP | Alexandria | PBE-GGA | optimized geometry
data_LaCeP
_space_group_name_H-M_alt 'P 1'
_space_group_IT_number 1
_cell_length_a 5.871
_cell_length_b 12.106
_cell_length_c 5.545
_cell_angle_alpha 90.00
_cell_angle_beta 90.00
_cell_angle_gamma 90.00
loop_
_space_group_symop_operation_xyz
'x,y,z'
loop_
_atom_site_label
_atom_site_fract_x
_atom_site_fract_y
_atom_site_fract_z
La1 0.000 0.198 0.250
La2 0.000 0.802 0.750
La3 0.500 0.302 0.750
La4 0.500 0.698 0.250
Ce1 0.000 0.500 0.000
Ce2 0.000 0.500 0.500
Ce3 0.500 0.000 0.000
Ce4 0.500 0.000 0.500
P1 0.000 0.292 0.750
P2 0.000 0.708 0.250
P3 0.500 0.208 0.250
P4 0.500 0.792 0.750
# * volume: 32.84 A^3/atom
# * crystal system: orthorhombic
# * symmetry: Cmcm, No. 63
# * DFT formation energy: -594 meV/atom
# * ρ: 5225 kg/m³



# 10
# PmFeOs | Alexandria | PBE-GGA | optimized geometry
data_PmFeOs
_space_group_name_H-M_alt 'P 1'
_space_group_IT_number 1
_cell_length_a 3.989
_cell_length_b 3.989
_cell_length_c 4.408
_cell_angle_alpha 90.00
_cell_angle_beta 90.00
_cell_angle_gamma 120.00
loop_
_space_group_symop_operation_xyz
'x,y,z'
loop_
_atom_site_label
_atom_site_fract_x
_atom_site_fract_y
_atom_site_fract_z
Pm1 0.000 0.000 0.000
Fe1 0.333 0.667 0.500
Os1 0.667 0.333 0.500
# * polymorph energy (0 for the lowest one): 133.2 meV per atom
# * volume: 20.25 A^3/atom
# * crystal system: hexagonal
# * symmetry: P-6m2, No. 187
# * DFT formation energy: 38 meV/atom
# * ρ: 10691 kg/m³



# 11
# IrBr3F | Alexandria | PBE-GGA | optimized geometry
data_IrBr3F
_space_group_name_H-M_alt 'P 1'
_space_group_IT_number 1
_cell_length_a 6.776
_cell_length_b 6.776
_cell_length_c 8.284
_cell_angle_alpha 90.88
_cell_angle_beta 90.88
_cell_angle_gamma 42.35
loop_
_space_group_symop_operation_xyz
'x,y,z'
loop_
_atom_site_label
_atom_site_fract_x
_atom_site_fract_y
_atom_site_fract_z
Ir1 0.140 0.140 0.441
Ir2 0.860 0.860 0.559
Br1 0.037 0.037 0.693
Br2 0.216 0.216 0.166
Br3 0.313 0.313 0.595
Br4 0.687 0.687 0.405
Br5 0.784 0.784 0.834
Br6 0.963 0.963 0.307
F1 0.472 0.472 0.288
F2 0.528 0.528 0.712
# * polymorph energy (0 for the lowest one): 0.0 meV per atom
# * volume: 25.62 A^3/atom
# * crystal system: monoclinic
# * symmetry: C2/m, No. 12
# * ρ: 5846 kg/m³



# 12
# HgP2Pd7 | Alexandria | PBE-GGA | optimized geometry
data_HgP2Pd7
_space_group_name_H-M_alt 'P 1'
_space_group_IT_number 1
_cell_length_a 10.337
_cell_length_b 10.337
_cell_length_c 10.337
_cell_angle_alpha 157.65
_cell_angle_beta 157.65
_cell_angle_gamma 31.81
loop_
_space_group_symop_operation_xyz
'x,y,z'
loop_
_atom_site_label
_atom_site_fract_x
_atom_site_fract_y
_atom_site_fract_z
Hg1 0.000 0.000 0.000
P1 0.327 0.327 0.000
P2 0.673 0.673 0.000
Pd1 0.108 0.608 0.500
Pd2 0.250 0.750 0.500
Pd3 0.392 0.892 0.500
Pd4 0.500 0.500 0.000
Pd5 0.608 0.108 0.500
Pd6 0.750 0.250 0.500
Pd7 0.892 0.392 0.500
# * volume: 15.96 A^3/atom
# * crystal system: tetragonal
# * symmetry: I4/mmm, No. 139
# * DFT formation energy: -390 meV/atom
# * ρ: 10483 kg/m³



What is the formula in the ninth record? LaCeP



Please write out number 10 again, unchanged.
# PmFeOs | Alexandria | PBE-GGA | optimized geometry
data_PmFeOs
_space_group_name_H-M_alt 'P 1'
_space_group_IT_number 1
_cell_length_a 3.989
_cell_length_b 3.989
_cell_length_c 4.408
_cell_angle_alpha 90.00
_cell_angle_beta 90.00
_cell_angle_gamma 120.00
loop_
_space_group_symop_operation_xyz
'x,y,z'
loop_
_atom_site_label
_atom_site_fract_x
_atom_site_fract_y
_atom_site_fract_z
Pm1 0.000 0.000 0.000
Fe1 0.333 0.667 0.500
Os1 0.667 0.333 0.500
# * polymorph energy (0 for the lowest one): 133.2 meV per atom
# * volume: 20.25 A^3/atom
# * crystal system: hexagonal
# * symmetry: P-6m2, No. 187
# * DFT formation energy: 38 meV/atom
# * ρ: 10691 kg/m³



Which of these has the lowest volume? VAg2Pd5



Which of these has the highest ρ? RbCaHg17